A relaxed CaMgAu crystal, computed with PBE.

**Space group**: No. 59
**Calculated formation energy**: -0.633 eV per atom
**V**: 24.4 A^3/atom

Geometry as extended XYZ:
```
6
Lattice="4.334 0.000 0.000 0.000 4.344 0.000 0.000 0.000 7.770" Properties=species:S:1:pos:R:3 pbc="T T T"
Ca 1.083 1.086 1.122
Ca 3.250 3.258 6.648
Mg 1.083 3.258 3.886
Mg 3.250 1.086 3.885
Au 1.083 1.086 5.703
Au 3.250 3.258 2.067
```